Te2MoO (GGA+U, optimized geometry); E_tot = -4.21 eV/atom
1.0
5.7655 0.0000 0.0000
0.0000 5.7655 0.0000
0.0000 0.0000 12.8214
Te Mo O
8 4 4
Cartesian
0.8683 1.4414 1.6027
1.4414 3.7511 4.8080
1.4414 4.8972 11.2187
2.0144 1.4414 8.0134
3.7511 4.3242 8.0134
4.3242 0.8683 11.2187
4.3242 2.0144 4.8080
4.8972 4.3242 1.6027
0.0000 0.0000 6.4107
0.0000 2.8828 9.6161
2.8828 0.0000 3.2054
2.8828 2.8828 0.0000
0.0000 0.0000 0.0000
0.0000 2.8828 3.2054
2.8828 0.0000 9.6161
2.8828 2.8828 6.4107